VASP calculation (PBE) on a geometry-optimized CdPbN2F structure.

a b c (Å): 4.313 4.313 4.510
angles (deg): 90.00 90.00 90.00
Sites, in units of the cell vectors:
Cd (0.000, 0.000, 0.000)
Pb (0.500, 0.500, 0.500)
N (0.000, 0.500, 0.000)
N (0.500, 0.000, 0.000)
F (0.000, 0.000, 0.500)

Summary:
The size of the total moment is 2.49 μB/f.u. The formation energy (no corrections) comes out at 676 meV per atom. The calculation puts the energy above the most stable polymorph in this dataset at 0.00 eV/f.u.